1.
Ni2BI | PBE-GGA | optimized geometry

The structure in extended XYZ format:
```
8
Lattice="-3.347 2.802 -1.745 -0.431 -2.834 -3.726 -5.950 -3.109 0.087" Properties=species:S:1:pos:R:3 pbc="T T T"
I -5.593 -0.161 -2.196
I 0.000 0.000 0.000
Ni -3.227 0.280 -1.323
Ni -5.931 -2.688 -2.438
Ni -7.716 -2.016 -4.269
B -1.889 -0.016 -2.735
Ni -2.581 -1.859 -2.736
B -4.135 -2.980 -3.187
```

Values from the calculation:
Crystal system: tetragonal
Fermi-level density of states, states/eV/f.u.: 0.09
Uncorrected formation energy, meV/atom: 402.9


2.
Li3U2S6 | PBE-GGA | optimized geometry

The structure in extended XYZ format:
```
11
Lattice="-0.440 -6.742 0.887 5.462 -3.925 -0.945 1.337 -1.644 6.124" Properties=species:S:1:pos:R:3 pbc="T T T"
Li 1.604 -3.549 -0.002
Li 0.000 0.000 0.000
S 4.306 -6.538 4.335
S 2.944 -3.013 4.278
S 0.671 -6.472 5.324
Li 3.418 -7.118 -0.056
U 2.122 -7.749 3.486
S 0.226 -1.914 1.687
S 3.415 -9.299 1.788
U 4.236 -4.562 2.579
S 2.052 -5.773 1.731
```

Values from the calculation:
Crystal system: monoclinic
Fermi-level density of states, states/eV/f.u.: 11.93
Uncorrected formation energy, meV/atom: -1346.0


3.
Sm2YTm3Te6 | PBE-GGA | optimized geometry

The structure in extended XYZ format:
```
12
Lattice="-1.586 -3.752 1.442 6.152 -4.351 -4.557 4.770 3.480 7.829" Properties=species:S:1:pos:R:3 pbc="T T T"
Te 8.337 -2.952 1.488
Sm 5.919 -3.698 3.363
Te 4.139 -3.926 0.810
Te 5.197 -0.697 3.902
Te 0.998 -1.671 3.225
Sm 3.416 -0.925 1.350
Tm 2.283 -4.052 -1.558
Te 4.710 -1.380 8.066
Tm 2.852 -1.535 5.620
Tm 6.483 -3.089 -0.907
Y -0.793 -1.876 0.721
Te 4.625 -3.244 -3.354
```

Values from the calculation:
Crystal system: monoclinic
Fermi-level density of states, states/eV/f.u.: 6.17
Uncorrected formation energy, meV/atom: -1267.9


4.
InHgW2 | PBE-GGA | optimized geometry

The structure in extended XYZ format:
```
4
Lattice="-4.156 -3.718 0.383 -1.261 -2.099 5.025 0.464 4.623 -3.108" Properties=species:S:1:pos:R:3 pbc="T T T"
W -0.005 -0.006 0.005
In -1.752 -0.192 2.311
W -2.703 -2.903 2.699
Hg -3.200 -1.002 -0.010
```

Values from the calculation:
Crystal system: orthorhombic
Energy of formation from the pure elements, eV/atom: 0.768
Fermi-level density of states, states/eV/f.u.: 2.60


5.
Sr4Cu3Hg | PBE-GGA | optimized geometry

The structure in extended XYZ format:
```
8
Lattice="-1.668 3.382 -2.383 -3.661 -2.458 -0.926 -5.366 4.286 9.837" Properties=species:S:1:pos:R:3 pbc="T T T"
Sr -4.254 4.423 5.078
Cu -4.805 1.148 4.991
Cu -2.418 1.932 4.434
Sr -4.638 2.039 1.964
Cu -5.808 5.664 7.927
Hg -3.012 0.740 -1.017
Sr -0.786 0.628 1.441
Sr -6.399 2.420 7.912
```

Values from the calculation:
Crystal system: orthorhombic
Energy of formation from the pure elements, eV/atom: -0.181
Fermi-level density of states, states/eV/f.u.: 3.41


6.
ZnCuNi | PBE-GGA | optimized geometry

The structure in extended XYZ format:
```
3
Lattice="-3.321 0.990 2.833 -3.341 -2.886 0.742 4.431 0.627 0.093" Properties=species:S:1:pos:R:3 pbc="T T T"
Ni -2.219 -0.631 1.191
Zn -4.457 -1.268 2.392
Cu -6.648 -1.891 3.568
```

Values from the calculation:
Crystal system: orthorhombic
Energy of formation from the pure elements, eV/atom: -0.119
Fermi-level density of states, states/eV/f.u.: 1.29


7.
KW4S8 | PBE-GGA | optimized geometry

The structure in extended XYZ format:
```
13
Lattice="3.188 0.000 0.691 1.460 8.409 0.963 -0.278 -0.096 8.987" Properties=species:S:1:pos:R:3 pbc="T T T"
K 1.378 -0.078 9.048
W 2.234 7.211 5.098
S 0.354 0.129 6.070
W 3.159 4.167 8.533
S 3.079 2.554 1.194
S 1.415 5.793 8.876
S 0.864 2.671 3.718
S 1.826 2.883 6.979
S 2.668 5.464 3.091
S 3.631 5.676 6.351
S 4.141 8.218 3.999
W 1.336 4.180 1.537
W 2.261 1.136 4.971
```

Values from the calculation:
Crystal system: monoclinic
Fermi-level density of states, states/eV/f.u.: 3.16
Uncorrected formation energy, meV/atom: -629.3


8.
Pm3DyN4 | PBE-GGA | optimized geometry

The structure in extended XYZ format:
```
16
Lattice="-0.322 6.190 0.069 -2.023 -2.112 -5.467 -6.662 -0.376 2.611" Properties=species:S:1:pos:R:3 pbc="T T T"
Dy -6.071 4.314 2.336
N -6.487 2.260 0.988
N -3.974 -1.701 -3.152
Pm -5.435 3.351 -1.043
Pm -4.261 1.312 1.656
Pm -2.084 3.540 -2.357
N -5.896 1.295 -2.428
Pm -3.572 0.352 -1.744
N -3.112 2.408 -0.359
Pm -6.924 0.163 -0.431
N -2.521 1.443 -3.775
N -1.323 -0.553 -1.007
Dy -0.913 1.501 0.343
N -7.684 4.255 -1.780
N -5.033 5.403 0.365
Pm -2.723 4.503 1.024
```

Values from the calculation:
Crystal system: monoclinic
Fermi-level density of states, states/eV/f.u.: 0.73
Uncorrected formation energy, meV/atom: -1491.9


> What is the Fermi-level density of states in the seventh record?

3.16 states/eV/f.u.